Entry 1:
# LaNb3N (PBE, relaxed)
# Excess energy over the best structure of this formula in the dataset = 0 meV per atom
# Formation energy from raw total energies = -0.09 eV/atom
# Crystal system = cubic
data_LaNb3N
_space_group_name_H-M_alt 'P m -3 m'
_space_group_IT_number 221
_space_group_name_Hall '-P 4 2 3'
_cell_length_a 4.485
_cell_length_b 4.485
_cell_length_c 4.485
_cell_angle_alpha 90.00
_cell_angle_beta 90.00
_cell_angle_gamma 90.00
loop_
_atom_site_label
_atom_site_fract_x
_atom_site_fract_y
_atom_site_fract_z
La1 0.000 0.000 0.000
Nb1 0.000 0.500 0.500
N1 0.500 0.500 0.500

***

Entry 2:
# Er2TcSn (PBE, relaxed)
# Excess energy over the best structure of this formula in the dataset = 480 meV per atom
# Crystal system = trigonal
data_Er2TcSn
_space_group_name_H-M_alt 'R -3 m'
_space_group_IT_number 166
_space_group_name_Hall '-R 3 2"'
_cell_length_a 3.4117
_cell_length_b 3.4117
_cell_length_c 31.1468
_cell_angle_alpha 90.00
_cell_angle_beta 90.00
_cell_angle_gamma 120.00
loop_
_atom_site_label
_atom_site_fract_x
_atom_site_fract_y
_atom_site_fract_z
Er1 0.0000 0.0000 0.1026
Tc1 0.0000 0.0000 0.5000
Sn1 0.0000 0.0000 0.0000

***

Entry 3:
# La2UP3Ir4 (PBE, relaxed)
# Raw total energy = -8.14 eV per atom
# Crystal system = tetragonal
data_La2UP3Ir4
_space_group_name_H-M_alt 'P -4 m 2'
_space_group_IT_number 115
_space_group_name_Hall 'P -4 -2'
_cell_length_a 4.088
_cell_length_b 4.088
_cell_length_c 11.190
_cell_angle_alpha 90.00
_cell_angle_beta 90.00
_cell_angle_gamma 90.00
loop_
_atom_site_label
_atom_site_fract_x
_atom_site_fract_y
_atom_site_fract_z
La1 0.000 0.500 0.230
U1 0.000 0.000 0.500
P1 0.000 0.500 0.878
P2 0.500 0.500 0.500
Ir1 0.000 0.000 0.000
Ir2 0.000 0.500 0.665
Ir3 0.500 0.500 0.000

***

Entry 4:
# PmZnP (PBE, relaxed)
# Excess energy over the best structure of this formula in the dataset = 0 meV per atom
# Crystal system = trigonal
data_PmZnP
_space_group_name_H-M_alt 'P 3 m 1'
_space_group_IT_number 156
_space_group_name_Hall 'P 3 -2"'
_cell_length_a 4.0831
_cell_length_b 4.0831
_cell_length_c 4.0953
_cell_angle_alpha 90.00
_cell_angle_beta 90.00
_cell_angle_gamma 120.00
loop_
_atom_site_label
_atom_site_fract_x
_atom_site_fract_y
_atom_site_fract_z
Pm1 0.0000 0.0000 0.0000
Zn1 0.3333 0.6667 0.4966
P1 0.6667 0.3333 0.5023

***

Entry 5:
# LiBi2Te6Pb3 (PBE, relaxed)
# Formation energy from raw total energies = -0.36 eV/atom
# Crystal system = monoclinic
data_LiBi2Te6Pb3
_space_group_name_H-M_alt 'C 1 2/m 1'
_space_group_IT_number 12
_space_group_name_Hall '-C 2y'
_cell_length_a 7.798
_cell_length_b 13.702
_cell_length_c 8.019
_cell_angle_alpha 90.00
_cell_angle_beta 110.10
_cell_angle_gamma 90.00
loop_
_atom_site_label
_atom_site_fract_x
_atom_site_fract_y
_atom_site_fract_z
Li1 0.000 0.000 0.000
Bi1 0.000 0.336 0.000
Te1 0.242 0.164 0.238
Te2 0.249 0.500 0.237
Pb1 0.000 0.174 0.500
Pb2 0.000 0.500 0.500

***

Entry 6:
# Mg3TiH8 (PBE, relaxed)
# Raw total energy = -3.48 eV per atom
# Crystal system = cubic
data_Mg3TiH8
_space_group_name_H-M_alt 'P m -3 m'
_space_group_IT_number 221
_space_group_name_Hall '-P 4 2 3'
_cell_length_a 4.613
_cell_length_b 4.613
_cell_length_c 4.613
_cell_angle_alpha 90.00
_cell_angle_beta 90.00
_cell_angle_gamma 90.00
loop_
_atom_site_label
_atom_site_fract_x
_atom_site_fract_y
_atom_site_fract_z
Mg1 0.000 0.000 0.500
Ti1 0.500 0.500 0.500
H1 0.257 0.257 0.257

***

Entry 7:
# La2Pm3Mg2 (PBE, relaxed)
# Raw total energy = -3.89 eV per atom
# Crystal system = orthorhombic
data_La2Pm3Mg2
_space_group_name_H-M_alt 'C m m m'
_space_group_IT_number 65
_space_group_name_Hall '-C 2 2'
_cell_length_a 3.846
_cell_length_b 31.266
_cell_length_c 3.777
_cell_angle_alpha 90.00
_cell_angle_beta 90.00
_cell_angle_gamma 90.00
loop_
_atom_site_label
_atom_site_fract_x
_atom_site_fract_y
_atom_site_fract_z
La1 0.000 0.206 0.000
Pm1 0.000 0.079 0.000
Pm2 0.000 0.500 0.500
Mg1 0.000 0.360 0.500

***

Entry 8:
# CeDy2NpAs4 (PBE, relaxed)
# Raw total energy = -7.13 eV per atom
# Crystal system = monoclinic
data_CeDy2NpAs4
_space_group_name_H-M_alt 'P 1 2/m 1'
_space_group_IT_number 10
_space_group_name_Hall '-P 2y'
_cell_length_a 7.163
_cell_length_b 4.133
_cell_length_c 7.187
_cell_angle_alpha 90.00
_cell_angle_beta 109.44
_cell_angle_gamma 90.00
loop_
_atom_site_label
_atom_site_fract_x
_atom_site_fract_y
_atom_site_fract_z
Ce1 0.000 0.000 0.000
Dy1 0.000 0.500 0.500
Dy2 0.500 0.000 0.500
Np1 0.500 0.500 0.000
As1 0.253 0.000 0.750
As2 0.254 0.500 0.252

***

Entry 9:
# BaZn3Pt (PBE, relaxed)
# Excess energy over the best structure of this formula in the dataset = 36 meV per atom
# Crystal system = orthorhombic
data_BaZn3Pt
_space_group_name_H-M_alt 'A m m 2'
_space_group_IT_number 38
_space_group_name_Hall 'A 2 -2'
_cell_length_a 6.428
_cell_length_b 6.464
_cell_length_c 10.652
_cell_angle_alpha 90.00
_cell_angle_beta 90.00
_cell_angle_gamma 90.00
loop_
_atom_site_label
_atom_site_fract_x
_atom_site_fract_y
_atom_site_fract_z
Ba1 0.000 0.000 0.000
Ba2 0.500 0.000 0.483
Zn1 0.000 0.000 0.599
Zn2 0.250 0.231 0.748
Zn3 0.500 0.000 0.124
Pt1 0.000 0.000 0.355
Pt2 0.500 0.000 0.883

***

Entry 10:
# ZrTeOs2C (PBE, relaxed)
# Formation energy from raw total energies = 0.53 eV/atom
# Crystal system = tetragonal
data_ZrTeOs2C
_space_group_name_H-M_alt 'P 4/m m m'
_space_group_IT_number 123
_space_group_name_Hall '-P 4 2'
_cell_length_a 4.056
_cell_length_b 4.056
_cell_length_c 5.019
_cell_angle_alpha 90.00
_cell_angle_beta 90.00
_cell_angle_gamma 90.00
loop_
_atom_site_label
_atom_site_fract_x
_atom_site_fract_y
_atom_site_fract_z
Zr1 0.000 0.000 0.000
Te1 0.500 0.500 0.000
Os1 0.000 0.500 0.500
C1 0.500 0.500 0.500

***

Entry 11:
# Cs2LiAgI4 (PBE, relaxed)
# Formation energy from raw total energies = -1.05 eV/atom
# Crystal system = monoclinic
data_Cs2LiAgI4
_space_group_name_H-M_alt 'C 1 2/c 1'
_space_group_IT_number 15
_space_group_name_Hall '-C 2yc'
_cell_length_a 12.975
_cell_length_b 15.474
_cell_length_c 10.014
_cell_angle_alpha 90.00
_cell_angle_beta 129.31
_cell_angle_gamma 90.00
loop_
_atom_site_label
_atom_site_fract_x
_atom_site_fract_y
_atom_site_fract_z
Cs1 0.000 0.000 0.000
Cs2 0.250 0.250 0.000
Li1 0.000 0.500 0.000
Ag1 0.250 0.250 0.500
I1 0.046 0.252 0.505
I2 0.210 0.494 0.006

***

Entry 12:
# AlFe2Pt8 (PBE, relaxed)
# Raw total energy = -6.62 eV per atom
# Crystal system = monoclinic
data_AlFe2Pt8
_space_group_name_H-M_alt 'C 1 2/m 1'
_space_group_IT_number 12
_space_group_name_Hall '-C 2y'
_cell_length_a 13.981
_cell_length_b 3.956
_cell_length_c 6.191
_cell_angle_alpha 90.00
_cell_angle_beta 105.72
_cell_angle_gamma 90.00
loop_
_atom_site_label
_atom_site_fract_x
_atom_site_fract_y
_atom_site_fract_z
Al1 0.000 0.000 0.000
Fe1 0.225 0.500 0.643
Pt1 0.046 0.500 0.730
Pt2 0.097 0.000 0.453
Pt3 0.142 0.500 0.196
Pt4 0.180 0.000 0.918

***

Entry 13:
# RbZnRe3 (PBE, relaxed)
# Excess energy over the best structure of this formula in the dataset = 1485 meV per atom
# Crystal system = cubic
data_RbZnRe3
_space_group_name_H-M_alt 'P m -3 m'
_space_group_IT_number 221
_space_group_name_Hall '-P 4 2 3'
_cell_length_a 4.720
_cell_length_b 4.720
_cell_length_c 4.720
_cell_angle_alpha 90.00
_cell_angle_beta 90.00
_cell_angle_gamma 90.00
loop_
_atom_site_label
_atom_site_fract_x
_atom_site_fract_y
_atom_site_fract_z
Rb1 0.000 0.000 0.000
Zn1 0.500 0.500 0.500
Re1 0.000 0.000 0.500

***

Entry 14:
# BaSm2In3 (PBE, relaxed)
# Raw total energy = -3.71 eV per atom
# Crystal system = tetragonal
data_BaSm2In3
_space_group_name_H-M_alt 'P 4/m m m'
_space_group_IT_number 123
_space_group_name_Hall '-P 4 2'
_cell_length_a 3.939
_cell_length_b 3.939
_cell_length_c 12.122
_cell_angle_alpha 90.00
_cell_angle_beta 90.00
_cell_angle_gamma 90.00
loop_
_atom_site_label
_atom_site_fract_x
_atom_site_fract_y
_atom_site_fract_z
Ba1 0.000 0.000 0.000
Sm1 0.000 0.000 0.345
In1 0.500 0.500 0.200
In2 0.500 0.500 0.500

***

Entry 15:
# Nd6Ni2SBr3 (PBE, relaxed)
# Formation energy from raw total energies = -1.08 eV/atom
# Crystal system = monoclinic
data_Nd6Ni2SBr3
_space_group_name_H-M_alt 'C 1 2/m 1'
_space_group_IT_number 12
_space_group_name_Hall '-C 2y'
_cell_length_a 7.182
_cell_length_b 12.399
_cell_length_c 7.808
_cell_angle_alpha 90.00
_cell_angle_beta 107.76
_cell_angle_gamma 90.00
loop_
_atom_site_label
_atom_site_fract_x
_atom_site_fract_y
_atom_site_fract_z
Nd1 0.216 0.000 0.197
Nd2 0.241 0.325 0.198
Ni1 0.000 0.167 0.000
S1 0.000 0.500 0.000
Br1 0.000 0.000 0.500
Br2 0.000 0.339 0.500

***

Entry 16:
# CdHg (PBE, relaxed)
# Raw total energy = -0.58 eV per atom
# Crystal system = monoclinic
data_CdHg
_space_group_name_H-M_alt 'P 1 21/m 1'
_space_group_IT_number 11
_space_group_name_Hall '-P 2yb'
_cell_length_a 3.283
_cell_length_b 4.411
_cell_length_c 6.658
_cell_angle_alpha 90.00
_cell_angle_beta 90.27
_cell_angle_gamma 90.00
loop_
_atom_site_label
_atom_site_fract_x
_atom_site_fract_y
_atom_site_fract_z
Cd1 0.246 0.250 0.374
Hg1 0.255 0.250 0.867

***

Entry 17:
# PmPrHo6 (PBE, relaxed)
# Excess energy over the best structure of this formula in the dataset = 0 meV per atom
# Crystal system = triclinic
data_PmPrHo6
_space_group_name_H-M_alt 'P -1'
_space_group_IT_number 2
_space_group_name_Hall '-P 1'
_cell_length_a 6.458
_cell_length_b 6.461
_cell_length_c 6.463
_cell_angle_alpha 96.60
_cell_angle_beta 96.68
_cell_angle_gamma 96.55
loop_
_atom_site_label
_atom_site_fract_x
_atom_site_fract_y
_atom_site_fract_z
Pm1 0.000 0.000 0.000
Pr1 0.500 0.500 0.500
Ho1 0.045 0.751 0.455
Ho2 0.249 0.545 0.954
Ho3 0.454 0.046 0.751

***

Entry 18:
# PmEr2Se (PBE, relaxed)
# Excess energy over the best structure of this formula in the dataset = 244 meV per atom
# Formation energy from raw total energies = -0.55 eV/atom
# Crystal system = trigonal
data_PmEr2Se
_space_group_name_H-M_alt 'R -3 m'
_space_group_IT_number 166
_space_group_name_Hall '-R 3 2"'
_cell_length_a 3.6811
_cell_length_b 3.6811
_cell_length_c 31.2783
_cell_angle_alpha 90.00
_cell_angle_beta 90.00
_cell_angle_gamma 120.00
loop_
_atom_site_label
_atom_site_fract_x
_atom_site_fract_y
_atom_site_fract_z
Pm1 0.0000 0.0000 0.0000
Er1 0.0000 0.0000 0.1091
Se1 0.0000 0.0000 0.5000

***

Entry 19:
# Nb3Fe (PBE, relaxed)
# Raw total energy = -9.27 eV per atom
# Crystal system = orthorhombic
data_Nb3Fe
_space_group_name_H-M_alt 'P m m 2'
_space_group_IT_number 25
_space_group_name_Hall 'P 2 -2'
_cell_length_a 2.813
_cell_length_b 2.908
_cell_length_c 8.475
_cell_angle_alpha 90.00
_cell_angle_beta 90.00
_cell_angle_gamma 90.00
loop_
_atom_site_label
_atom_site_fract_x
_atom_site_fract_y
_atom_site_fract_z
Nb1 0.000 0.000 0.000
Nb2 0.000 0.500 0.307
Nb3 0.500 0.500 0.727
Fe1 0.500 0.000 0.490

***

Entry 20:
# UZnCd (PBE, relaxed)
# Raw total energy = -4.36 eV per atom
# Crystal system = tetragonal
data_UZnCd
_space_group_name_H-M_alt 'I 4 m m'
_space_group_IT_number 107
_space_group_name_Hall 'I 4 -2'
_cell_length_a 2.828
_cell_length_b 2.828
_cell_length_c 14.576
_cell_angle_alpha 90.00
_cell_angle_beta 90.00
_cell_angle_gamma 90.00
loop_
_atom_site_label
_atom_site_fract_x
_atom_site_fract_y
_atom_site_fract_z
U1 0.000 0.000 0.000
Zn1 0.000 0.000 0.662
Cd1 0.000 0.000 0.314